Record 1
This record from the Alexandria database describes a relaxed structure of BaAgO3. The functional is PBE.

a = 3.8992 Å, b = 5.8975 Å, c = 7.1916 Å
α = 90.00°, β = 105.53°, γ = 90.00°
Last column: nearest neighbours and their distance in Å.
Atoms (fractional coordinates):
1 O 0.6785 0.4997 0.9995  1 O 1.39
2 O 0.3215 0.5003 0.0005  1 O 1.39
3 O 0.6785 0.0003 0.9995  1 O 1.39
4 O 0.3215 0.9997 0.0005  1 O 1.39
5 O 0.7011 0.2500 0.4022  2 Ag 2.34-2.35
6 O 0.2989 0.7500 0.5978  2 Ag 2.34-2.35
7 Ba 0.3364 0.2500 0.6756  8 O 2.72-3.00
8 Ba 0.6636 0.7500 0.3244  8 O 2.72-3.00
9 Ag 0.1069 0.2500 0.2135  6 O 2.34-2.44
10 Ag 0.8931 0.7500 0.7865  6 O 2.34-2.44

Summary:
* SG: No. 11
* E_form (uncorrected): -95 kJ per mole of atoms

=====

Record 2
This record from the Alexandria database describes a relaxed structure of HSBrCl2. The functional is PBE.

a = 5.3160 Å, b = 5.3160 Å, c = 4.8381 Å
α = 90.00°, β = 90.00°, γ = 90.00°
Last column: nearest neighbours and their distance in Å.
Atoms (fractional coordinates):
1 H 0.5000 0.5000 0.5000  8 Cl 3.59, 4 S 3.76
2 S 0.0000 0.0000 0.5000  2 Br 2.42
3 Br 0.0000 0.0000 0.0000  2 S 2.42, 4 Cl 2.66
4 Cl 0.0000 0.5000 0.0000  2 Br 2.66
5 Cl 0.5000 0.0000 0.0000  2 Br 2.66

Summary:
* SG: No. 123

=====

no.,energy (eV per atom),magnetization (μB per atom)
1,-4.919,0.00
2,-1.581,0.35